Tl3CrF6 | PBE with a Hubbard U | optimized geometry

a b c (Å): 6.471 6.471 6.471
angles (deg): 60.00 60.00 60.00
Last column: magnetic moment on the atom in μB.
Fractional positions:
1 Cr 0.500 0.500 0.500  2.99
2 Tl 0.250 0.250 0.250  0.00
3 Tl 0.750 0.750 0.750  0.00
4 Tl 0.000 0.000 0.000  0.00
5 F 0.286 0.714 0.714  0.00
6 F 0.714 0.286 0.714  0.00
7 F 0.286 0.714 0.286  0.00
8 F 0.286 0.286 0.714  0.00
9 F 0.714 0.714 0.286  0.00
10 F 0.714 0.286 0.286  0.00

Summary:
space group: Fm-3m
final energy: -4.783 eV/atom